# 1
Y3TeBr7: relaxed, GGA-PBE.

Cell lengths 8.413, 8.417, 8.183 Å; angles 75.04, 59.07, 60.02 degrees
Positions (direct):
Br: 0.290 0.077 0.819
Br: 0.331 0.429 0.381
Br: 0.290 0.603 0.817
Br: 0.859 0.902 0.380
Br: 0.859 0.429 0.381
Br: 0.814 0.077 0.819
Br: 0.353 0.921 0.373
Te: 0.771 0.586 0.871
Y: 0.578 0.749 0.609
Y: 0.065 0.749 0.609
Y: 0.064 0.261 0.610

Properties
Its magnetic moment is 0.0 μB per cell. The formation energy from raw total energies is -1.79 eV per atom. Its symmetry is Cm (8). The value obtained for the density of states at the Fermi level is 0.000 states/eV/cell.

=====

# 2
MgScGaPd: relaxed, GGA-PBE.

Cell lengths 4.644, 4.644, 4.644 Å; angles 60.00, 60.00, 60.00 degrees
Positions (direct):
Ga: 0.250 0.250 0.250
Mg: 0.000 0.000 0.000
Sc: 0.500 0.500 0.500
Pd: 0.750 0.750 0.750

Properties
Its magnetic moment is 0.0 μB per cell. Its formation energy is -252 kJ/mol of formula units. Its symmetry is F-43m (216). The value obtained for the density of states at the Fermi level is 0.865 states/eV/cell.

=====

# 3
ZnSb2Pb: relaxed, GGA-PBE.

Cell lengths 3.361, 3.361, 9.198 Å; angles 90.00, 90.00, 90.00 degrees
Positions (direct):
Zn: 0.500 0.500 0.250
Pb: 0.500 0.500 0.750
Sb: 0.000 0.000 0.461
Sb: 0.000 0.000 0.039

Properties
Its magnetic moment is 0.0 μB per cell. The formation energy from raw total energies is 0.16 eV per atom. Its symmetry is P4/mmm (123). The value obtained for the density of states at the Fermi level is 1.801 states/eV/cell.

=====

# 4
Mn2AlPSe: relaxed, GGA-PBE.

Cell lengths 4.349, 4.812, 4.349 Å; angles 90.00, 90.00, 90.00 degrees
Positions (direct):
Se: 0.000 0.000 0.000
P: 0.000 0.500 0.000
Al: 0.500 0.500 0.500
Mn: 0.000 0.000 0.500
Mn: 0.500 0.000 0.000

Properties
Its magnetic moment is 0.6 μB per cell. The formation energy from raw total energies is 1.17 eV per atom. Its symmetry is P4/mmm (123). The value obtained for the density of states at the Fermi level is 6.611 states/eV/cell.

=====

# 5
ZrAlTe2I: relaxed, GGA-PBE.

Cell lengths 5.635, 5.635, 5.809 Å; angles 90.00, 90.00, 90.00 degrees
Positions (direct):
I: 0.000 0.000 0.500
Te: 0.000 0.500 0.000
Te: 0.500 0.000 0.000
Al: 0.500 0.500 0.500
Zr: 0.000 0.000 0.000

Properties
Its magnetic moment is 0.0 μB per cell. The formation energy from raw total energies is -0.16 eV per atom. Its symmetry is P4/mmm (123). The value obtained for the density of states at the Fermi level is 1.754 states/eV/cell.

=====

# 6
LaMn3: relaxed, GGA-PBE.

Cell lengths 3.424, 3.424, 7.670 Å; angles 90.00, 90.00, 120.00 degrees
Positions (direct):
Mn: 0.333 0.667 0.677
Mn: 0.333 0.667 0.323
Mn: 0.000 0.000 0.500
La: 0.000 0.000 0.000

Properties
Its magnetic moment is 3.5 μB per cell. Its formation energy is 217 kJ/mol of formula units. Its symmetry is P-6m2 (187). The value obtained for the density of states at the Fermi level is 4.298 states/eV/cell.

=====

# 7
U4Co6Ir7: relaxed, GGA-PBE.

Cell lengths 7.010, 7.010, 7.010 Å; angles 109.47, 109.47, 109.47 degrees
Positions (direct):
Co: 0.704 0.000 0.704
Co: 0.704 0.704 0.000
Co: 0.000 0.704 0.704
Co: 0.000 0.296 0.296
Co: 0.296 0.000 0.296
Co: 0.296 0.296 0.000
Ir: 0.250 0.500 0.750
Ir: 0.250 0.750 0.500
Ir: 0.750 0.500 0.250
Ir: 0.750 0.250 0.500
Ir: 0.500 0.250 0.750
Ir: 0.500 0.750 0.250
Ir: 0.000 0.000 0.000
U: 0.000 0.500 0.000
U: 0.500 0.000 0.000
U: 0.500 0.500 0.500
U: 0.000 0.000 0.500

Properties
Its magnetic moment is 2.3 μB per cell. Its formation energy is -558 kJ/mol of formula units. Its symmetry is Im-3m (229). The value obtained for the density of states at the Fermi level is 21.102 states/eV/cell.

=====

# 8
Al2IrPt2: relaxed, GGA-PBE.

Cell lengths 7.368, 7.368, 2.781 Å; angles 90.00, 90.00, 90.00 degrees
Positions (direct):
Al: 0.165 0.665 0.500
Al: 0.665 0.835 0.500
Al: 0.835 0.335 0.500
Al: 0.335 0.165 0.500
Ir: 0.000 0.000 0.000
Ir: 0.500 0.500 0.000
Pt: 0.364 0.864 0.000
Pt: 0.136 0.364 0.000
Pt: 0.636 0.136 0.000
Pt: 0.864 0.636 0.000

Properties
Its magnetic moment is 1.1 μB per cell. Its formation energy is -298 kJ/mol of formula units. Its symmetry is P4/mbm (127). The value obtained for the density of states at the Fermi level is 5.685 states/eV/cell.